1.
The following is a PBE calculation of a geometry-optimized DyGePdAu structure, from Alexandria via LeMat-Bulk.

a b c (Å): 4.792 4.792 4.792
angles (deg): 60.00 60.00 60.00
Fractional coordinates of all 4 atoms:
Pd  0.250  0.250  0.250
Au  0.750  0.750  0.750
Dy  0.500  0.500  0.500
Ge  0.000  0.000  0.000

Calculated values
Its formation energy is -631 meV per atom. As for the total magnetization: 0.000 μB per atom.



2.
The following is a PBE calculation of a geometry-optimized Pa4CuP5 structure, from Alexandria via LeMat-Bulk.

a b c (Å): 3.968 3.968 15.335
angles (deg): 82.57 82.57 60.00
Fractional coordinates of all 10 atoms:
P  0.193  0.193  0.421
P  0.000  0.000  0.000
P  0.405  0.405  0.784
P  0.595  0.595  0.216
P  0.807  0.807  0.579
Pa  0.297  0.297  0.108
Pa  0.108  0.108  0.676
Pa  0.703  0.703  0.892
Pa  0.892  0.892  0.324
Cu  0.500  0.500  0.500

Calculated values
Its formation energy is -1006 meV per atom. As for the total magnetization: 0.000 μB per atom.



3.
The following is a PBE calculation of a geometry-optimized Na5Cd2 structure, from Alexandria via LeMat-Bulk.

a b c (Å): 6.164 8.505 8.457
angles (deg): 92.38 111.37 90.00
Fractional coordinates of all 14 atoms:
Na  0.710  0.544  0.741
Na  0.576  0.829  0.425
Na  0.290  0.456  0.259
Na  0.849  0.329  0.425
Na  0.824  0.250  0.000
Na  0.151  0.671  0.575
Na  0.176  0.750  0.000
Na  0.424  0.171  0.575
Na  0.031  0.044  0.741
Na  0.969  0.956  0.259
Cd  0.587  0.892  0.869
Cd  0.282  0.392  0.869
Cd  0.718  0.608  0.131
Cd  0.413  0.108  0.131

Calculated values
Its formation energy is -40 meV per atom. As for the total magnetization: 0.000 μB per atom. The calculation puts the energy above the most stable polymorph in this dataset at 0 meV/atom.



4.
The following is a PBE calculation of a geometry-optimized RuW2C structure, from Alexandria via LeMat-Bulk.

a b c (Å): 5.128 5.128 6.268
angles (deg): 65.85 65.85 90.00
Fractional coordinates of all 8 atoms:
W  0.549  0.125  0.250
W  0.201  0.625  0.250
W  0.375  0.451  0.750
W  0.875  0.799  0.750
C  0.250  0.750  0.500
C  0.500  0.500  0.000
Ru  0.000  0.000  0.000
Ru  0.750  0.250  0.500

Calculated values
Its formation energy is 870 meV per atom. As for the total magnetization: 0.000 μB per atom. The calculation puts the energy above the most stable polymorph in this dataset at 796 meV/atom.



5.
The following is a PBE calculation of a geometry-optimized BeFeSCl2 structure, from Alexandria via LeMat-Bulk.

a b c (Å): 4.182 4.182 5.152
angles (deg): 90.00 90.00 90.00
Fractional coordinates of all 5 atoms:
Cl  0.500  0.000  0.000
Cl  0.000  0.500  0.000
Fe  0.500  0.500  0.500
S  0.000  0.000  0.500
Be  0.000  0.000  0.000

Calculated values
For the formation energy from raw total energies, the calculation gives 42 meV/atom. As for the total magnetization: 0.807 μB per atom. The calculation puts the energy above the most stable polymorph in this dataset at 0 meV/atom.



6.
The following is a PBE calculation of a geometry-optimized Pm2MnSb4Rh3 structure, from Alexandria via LeMat-Bulk.

a b c (Å): 4.497 4.497 10.776
angles (deg): 90.00 90.00 90.00
Fractional coordinates of all 10 atoms:
Pm  0.500  0.000  0.252
Pm  0.000  0.500  0.748
Rh  0.000  0.500  0.125
Rh  0.000  0.000  0.500
Rh  0.500  0.000  0.875
Mn  0.500  0.500  0.500
Sb  0.000  0.000  0.000
Sb  0.500  0.500  0.000
Sb  0.000  0.500  0.365
Sb  0.500  0.000  0.635

Calculated values
For the formation energy from raw total energies, the calculation gives -684 meV/atom. As for the total magnetization: 0.350 μB per atom.



7.
The following is a PBE calculation of a geometry-optimized LaCoRh2 structure, from Alexandria via LeMat-Bulk.

a b c (Å): 4.629 4.629 4.629
angles (deg): 60.00 60.00 60.00
Fractional coordinates of all 4 atoms:
La  0.500  0.500  0.500
Rh  0.250  0.250  0.250
Rh  0.750  0.750  0.750
Co  0.000  0.000  0.000

Calculated values
Its formation energy is -63 meV per atom. As for the total magnetization: 0.523 μB per atom. The calculation puts the energy above the most stable polymorph in this dataset at 191 meV/atom.